Material: CeTh2ScSe4
Method: DFT, PBE-GGA
State: optimized geometry

a b c (Å): 7.024 4.077 7.315
angles (deg): 90.00 108.69 90.00
Positions (direct):
1 Ce 0.000 0.000 0.000
2 Th 0.000 0.500 0.500
3 Th 0.500 0.000 0.500
4 Sc 0.500 0.500 0.000
5 Se 0.257 0.500 0.236
6 Se 0.268 0.000 0.771
7 Se 0.732 0.000 0.229
8 Se 0.743 0.500 0.764

Properties
Raw total energy   -6.7323 eV/atom
Fermi-level density of states   8.7 states/eV/f.u.
Formation energy without anion corrections   -1.6019 eV per atom

=====

Material: CeSc2Tl3Se6
Method: DFT, PBE-GGA
State: optimized geometry

a b c (Å): 7.096 7.096 8.100
angles (deg): 98.41 98.41 119.89
Positions (direct):
1 Ce 0.000 0.000 0.000
2 Sc 0.333 0.667 0.000
3 Sc 0.667 0.333 0.000
4 Tl 0.163 0.837 0.500
5 Tl 0.500 0.500 0.500
6 Tl 0.837 0.163 0.500
7 Se 0.067 0.420 0.200
8 Se 0.288 0.288 0.804
9 Se 0.420 0.067 0.200
10 Se 0.580 0.933 0.800
11 Se 0.712 0.712 0.196
12 Se 0.933 0.580 0.800

Properties
Raw total energy   -5.1485 eV/atom
Fermi-level density of states   8.2 states/eV/f.u.
Formation energy without anion corrections   -1.2649 eV per atom

=====

Material: Ce3ScTl4Se8
Method: DFT, PBE-GGA
State: optimized geometry

a b c (Å): 9.163 9.163 9.163
angles (deg): 55.33 55.33 55.33
Positions (direct):
1 Ce 0.000 0.500 0.500
2 Ce 0.500 0.000 0.500
3 Ce 0.500 0.500 0.000
4 Sc 0.000 0.000 0.000
5 Tl 0.000 0.000 0.500
6 Tl 0.000 0.500 0.000
7 Tl 0.500 0.000 0.000
8 Tl 0.500 0.500 0.500
9 Se 0.225 0.225 0.752
10 Se 0.225 0.752 0.225
11 Se 0.248 0.775 0.775
12 Se 0.263 0.263 0.263
13 Se 0.737 0.737 0.737
14 Se 0.752 0.225 0.225
15 Se 0.775 0.248 0.775
16 Se 0.775 0.775 0.248

Properties
Raw total energy   -5.1305 eV/atom
Fermi-level density of states   20.5 states/eV/f.u.
Formation energy without anion corrections   -1.2884 eV per atom

=====

Material: Ce2ScTl3Se6
Method: DFT, PBE-GGA
State: optimized geometry

a b c (Å): 7.303 7.303 8.114
angles (deg): 98.64 98.64 119.91
Positions (direct):
1 Ce 0.166 0.834 0.000
2 Ce 0.834 0.166 0.000
3 Sc 0.500 0.500 0.000
4 Tl 0.000 0.000 0.500
5 Tl 0.331 0.669 0.500
6 Tl 0.669 0.331 0.500
7 Se 0.119 0.432 0.798
8 Se 0.255 0.255 0.206
9 Se 0.432 0.119 0.798
10 Se 0.568 0.881 0.202
11 Se 0.745 0.745 0.794
12 Se 0.881 0.568 0.202

Properties
Raw total energy   -5.1350 eV/atom
Fermi-level density of states   14.7 states/eV/f.u.
Formation energy without anion corrections   -1.2846 eV per atom

=====

Material: Ce4TmSc3Se8
Method: DFT, PBE-GGA
State: optimized geometry

a b c (Å): 8.211 8.211 8.211
angles (deg): 58.51 58.51 58.51
Positions (direct):
1 Ce 0.000 0.000 0.000
2 Ce 0.000 0.500 0.500
3 Ce 0.500 0.000 0.500
4 Ce 0.500 0.500 0.000
5 Tm 0.500 0.500 0.500
6 Sc 0.000 0.000 0.500
7 Sc 0.000 0.500 0.000
8 Sc 0.500 0.000 0.000
9 Se 0.237 0.745 0.745
10 Se 0.241 0.241 0.241
11 Se 0.255 0.255 0.763
12 Se 0.255 0.763 0.255
13 Se 0.745 0.237 0.745
14 Se 0.745 0.745 0.237
15 Se 0.759 0.759 0.759
16 Se 0.763 0.255 0.255

Properties
Raw total energy   -6.4063 eV/atom
Fermi-level density of states   25.6 states/eV/f.u.
Formation energy without anion corrections   -1.7139 eV per atom

=====

Material: Ce4Tm3ScSe8
Method: DFT, PBE-GGA
State: optimized geometry

a b c (Å): 8.289 8.289 8.289
angles (deg): 58.45 58.45 58.45
Positions (direct):
1 Ce 0.000 0.000 0.000
2 Ce 0.000 0.500 0.500
3 Ce 0.500 0.000 0.500
4 Ce 0.500 0.500 0.000
5 Tm 0.000 0.000 0.500
6 Tm 0.000 0.500 0.000
7 Tm 0.500 0.000 0.000
8 Sc 0.500 0.500 0.500
9 Se 0.244 0.244 0.244
10 Se 0.248 0.741 0.741
11 Se 0.259 0.259 0.752
12 Se 0.259 0.752 0.259
13 Se 0.741 0.248 0.741
14 Se 0.741 0.741 0.248
15 Se 0.752 0.259 0.259
16 Se 0.756 0.756 0.756

Properties
Raw total energy   -6.2028 eV/atom
Fermi-level density of states   24.9 states/eV/f.u.
Formation energy without anion corrections   -1.7430 eV per atom

=====

Material: Ce2TmScSe6
Method: DFT, PBE-GGA
State: optimized geometry

a b c (Å): 7.597 7.597 7.597
angles (deg): 57.02 57.02 57.02
Positions (direct):
1 Ce 0.000 0.000 0.000
2 Ce 0.499 0.499 0.499
3 Tm 0.202 0.202 0.202
4 Sc 0.700 0.700 0.700
5 Se 0.066 0.432 0.824
6 Se 0.330 0.920 0.577
7 Se 0.432 0.824 0.066
8 Se 0.577 0.330 0.920
9 Se 0.824 0.066 0.432
10 Se 0.920 0.577 0.330

Properties
Raw total energy   -6.0992 eV/atom
Fermi-level density of states   10.6 states/eV/f.u.
Formation energy without anion corrections   -1.7414 eV per atom

=====

Material: CeTm3Sc2Se6
Method: DFT, PBE-GGA
State: optimized geometry

a b c (Å): 8.956 8.956 8.059
angles (deg): 103.01 103.01 25.73
Positions (direct):
1 Ce 0.000 0.000 0.000
2 Tm 0.000 0.000 0.500
3 Tm 0.338 0.338 0.169
4 Tm 0.662 0.662 0.831
5 Sc 0.337 0.337 0.677
6 Sc 0.663 0.663 0.323
7 Se 0.171 0.171 0.577
8 Se 0.173 0.173 0.091
9 Se 0.497 0.497 0.737
10 Se 0.503 0.503 0.263
11 Se 0.827 0.827 0.909
12 Se 0.829 0.829 0.423

Properties
Raw total energy   -6.0665 eV/atom
Fermi-level density of states   11.2 states/eV/f.u.
Formation energy without anion corrections   -1.6566 eV per atom

=====

Material: Ce2TmScSe4
Method: DFT, PBE-GGA
State: optimized geometry

a b c (Å): 6.978 4.021 7.215
angles (deg): 90.00 108.73 90.00
Positions (direct):
1 Ce 0.000 0.000 0.000
2 Ce 0.500 0.500 0.000
3 Tm 0.000 0.500 0.500
4 Sc 0.500 0.000 0.500
5 Se 0.248 0.000 0.729
6 Se 0.263 0.500 0.274
7 Se 0.737 0.500 0.726
8 Se 0.752 0.000 0.271

Properties
Raw total energy   -6.3044 eV/atom
Fermi-level density of states   12.6 states/eV/f.u.
Formation energy without anion corrections   -1.7283 eV per atom

=====

Material: Ce3TmSc2Se6
Method: DFT, PBE-GGA
State: optimized geometry

a b c (Å): 6.958 6.958 7.180
angles (deg): 99.31 99.31 120.04
Positions (direct):
1 Ce 0.000 0.000 0.000
2 Ce 0.336 0.664 0.000
3 Ce 0.664 0.336 0.000
4 Tm 0.500 0.500 0.500
5 Sc 0.167 0.833 0.500
6 Sc 0.833 0.167 0.500
7 Se 0.085 0.424 0.273
8 Se 0.235 0.235 0.724
9 Se 0.424 0.085 0.273
10 Se 0.576 0.915 0.727
11 Se 0.765 0.765 0.276
12 Se 0.915 0.576 0.727

Properties
Raw total energy   -6.3738 eV/atom
Fermi-level density of states   19.1 states/eV/f.u.
Formation energy without anion corrections   -1.7201 eV per atom